1.
TlTcP2S after structural relaxation, computed with PBE-GGA.

Output
- distance to the lowest polymorph of the same formula (eV per atom) = 0.000
- raw total energy (eV/atom) = -5.269
- symmetry = P4/mmm (123)

a = 4.5281 Å, b = 4.5281 Å, c = 5.3469 Å
α = 90.00°, β = 90.00°, γ = 90.00°
With the nearest neighbours (Å) after each atom.
Element x y z (fractional)
P (0.0000, 0.5000, 0.0000)  2 Tc 2.26
P (0.5000, 0.0000, 0.0000)  2 Tc 2.26
Tl (0.5000, 0.5000, 0.5000)  4 S 3.20, 8 P 3.50
Tc (0.0000, 0.0000, 0.0000)  4 P 2.26
S (0.0000, 0.0000, 0.5000)  2 Tc 2.67


2.
Na2DyHf2Se6 after structural relaxation, computed with PBE-GGA.

Output
- raw total energy (eV/atom) = -5.810
- symmetry = C2/m (12)

a = 6.7690 Å, b = 6.7690 Å, c = 7.5136 Å
α = 98.36°, β = 98.36°, γ = 120.39°
With the nearest neighbours (Å) after each atom.
Element x y z (fractional)
Dy (0.0000, 0.0000, 0.5000)  6 Se 2.85-2.86
Se (0.7200, 0.7200, 0.7218)  2 Hf 2.71, 1 Dy 2.86, 2 Na 3.04
Se (0.2800, 0.2800, 0.2782)  2 Hf 2.71, 1 Dy 2.86, 2 Na 3.04
Se (0.4211, 0.0718, 0.7218)  2 Hf 2.71-2.72, 1 Dy 2.85, 2 Na 2.98-3.03
Se (0.9282, 0.5789, 0.2782)  2 Hf 2.71-2.72, 1 Dy 2.85, 2 Na 2.98-3.03
Se (0.0718, 0.4211, 0.7218)  2 Hf 2.71-2.72, 1 Dy 2.85, 2 Na 2.98-3.03
Se (0.5789, 0.9282, 0.2782)  2 Hf 2.71-2.72, 1 Dy 2.85, 2 Na 2.98-3.03
Hf (0.6669, 0.3331, 0.5000)  6 Se 2.71-2.72
Hf (0.3331, 0.6669, 0.5000)  6 Se 2.71-2.72
Na (0.8384, 0.1616, 0.0000)  6 Se 2.98-3.04
Na (0.1616, 0.8384, 0.0000)  6 Se 2.98-3.04


3.
YZnCl2 after structural relaxation, computed with PBE-GGA.

Output
- distance to the lowest polymorph of the same formula (eV per atom) = 0.010
- raw total energy (eV/atom) = -4.063
- symmetry = R-3m (166)

a = 10.8973 Å, b = 10.8973 Å, c = 10.8973 Å
α = 19.60°, β = 19.60°, γ = 19.60°
With the nearest neighbours (Å) after each atom.
Element x y z (fractional)
Cl (0.9697, 0.9697, 0.9697)  3 Y 2.73
Cl (0.5303, 0.5303, 0.5303)  3 Y 2.73
Zn (0.7500, 0.7500, 0.7500)  6 Zn 3.71
Y (0.2500, 0.2500, 0.2500)  6 Cl 2.73


4.
AlTe2W after structural relaxation, computed with PBE-GGA.

Output
- raw total energy (eV/atom) = -5.654
- symmetry = P4mm (99)

a = 3.4047 Å, b = 3.4047 Å, c = 7.9970 Å
α = 90.00°, β = 90.00°, γ = 90.00°
With the nearest neighbours (Å) after each atom.
Element x y z (fractional)
Te (0.5000, 0.5000, 0.3417)  4 W 2.92, 1 Al 2.93
Te (0.0000, 0.0000, 0.9034)  1 W 2.85, 4 Al 2.87
Al (0.5000, 0.5000, 0.7077)  4 W 2.73, 5 Te 2.87-2.93
W (0.0000, 0.0000, 0.5473)  4 Al 2.73, 5 Te 2.85-2.92


5.
Na2Cd5Sn4 after structural relaxation, computed with PBE-GGA.

Output
- raw total energy (eV/atom) = -2.055
- E_form (meV/atom) = 56
- symmetry = Fmmm (69)

a = 6.0191 Å, b = 7.0232 Å, c = 9.2674 Å
α = 82.00°, β = 71.05°, γ = 64.63°
With the nearest neighbours (Å) after each atom.
Element x y z (fractional)
Sn (0.5232, 0.2364, 0.7172)  3 Cd 2.90-2.95, 1 Sn 3.00
Sn (0.7596, 0.7636, 0.7172)  3 Cd 2.90-2.95, 1 Sn 3.00
Sn (0.2404, 0.2364, 0.2828)  3 Cd 2.90-2.95, 1 Sn 3.00
Sn (0.4768, 0.7636, 0.2828)  3 Cd 2.90-2.95, 1 Sn 3.00
Cd (0.7500, 0.5000, 0.5000)  4 Sn 2.95, 2 Cd 3.01
Cd (0.5000, 0.5000, 0.0000)  2 Cd 3.01, 4 Sn 3.35
Cd (0.0000, 0.5000, 0.0000)  2 Cd 3.01, 4 Sn 3.35
Cd (0.2500, 0.5000, 0.5000)  4 Sn 2.95, 2 Cd 3.01
Cd (0.5000, 0.0000, 0.0000)  4 Sn 2.90
Na (0.1725, 0.0000, 0.6551)  6 Sn 3.41-3.59, 4 Cd 3.77
Na (0.8275, 0.0000, 0.3449)  6 Sn 3.41-3.59, 4 Cd 3.77


6.
PuTiBe4 after structural relaxation, computed with PBE-GGA.

Output
- raw total energy (eV/atom) = -6.140
- E_form (meV/atom) = 49
- symmetry = F-43m (216)

a = 4.7213 Å, b = 4.7213 Å, c = 4.7213 Å
α = 60.00°, β = 60.00°, γ = 60.00°
With the nearest neighbours (Å) after each atom.
Element x y z (fractional)
Be (0.6278, 0.6278, 0.1167)  6 Be 2.31-2.41
Be (0.1167, 0.6278, 0.6278)  6 Be 2.31-2.41
Be (0.6278, 0.1167, 0.6278)  6 Be 2.31-2.41
Be (0.6278, 0.6278, 0.6278)  6 Be 2.31-2.41
Ti (0.0000, 0.0000, 0.0000)  12 Be 2.76, 4 Pu 2.89
Pu (0.2500, 0.2500, 0.2500)  12 Be 2.77, 4 Ti 2.89


7.
SrScSi4 after structural relaxation, computed with PBE-GGA.

Output
- distance to the lowest polymorph of the same formula (eV per atom) = 0.000
- raw total energy (eV/atom) = -5.326
- symmetry = Pbam (55)

a = 4.0810 Å, b = 7.6839 Å, c = 15.6241 Å
α = 90.00°, β = 90.00°, γ = 90.00°
With the nearest neighbours (Å) after each atom.
Element x y z (fractional)
Sr (0.0000, 0.1222, 0.1546)  12 Si 3.27-3.41
Sr (0.0000, 0.8778, 0.8454)  12 Si 3.27-3.41
Sr (0.0000, 0.6222, 0.3454)  12 Si 3.27-3.41
Sr (0.0000, 0.3778, 0.6546)  12 Si 3.27-3.41
Si (0.5000, 0.7770, 0.1924)  3 Si 2.35-2.41
Si (0.5000, 0.5298, 0.8089)  3 Si 2.35-2.40
Si (0.5000, 0.7230, 0.6924)  3 Si 2.35-2.41
Si (0.5000, 0.3745, 0.4541)  3 Si 2.38-2.41
Si (0.5000, 0.9702, 0.3089)  3 Si 2.35-2.40
Si (0.5000, 0.6255, 0.5459)  3 Si 2.38-2.41
Si (0.5000, 0.2230, 0.8076)  3 Si 2.35-2.41
Si (0.5000, 0.1255, 0.9541)  3 Si 2.38-2.41
Si (0.5000, 0.4702, 0.1911)  3 Si 2.35-2.40
Si (0.5000, 0.3744, 0.0446)  3 Si 2.38-2.40
Si (0.5000, 0.2770, 0.3076)  3 Si 2.35-2.41
Si (0.5000, 0.6256, 0.9554)  3 Si 2.38-2.40
Si (0.5000, 0.0298, 0.6911)  3 Si 2.35-2.40
Si (0.5000, 0.8744, 0.4554)  3 Si 2.38-2.40
Si (0.5000, 0.1256, 0.5446)  3 Si 2.38-2.40
Si (0.5000, 0.8745, 0.0459)  3 Si 2.38-2.41
Sc (0.0000, 0.8721, 0.5867)  10 Si 2.86-2.90
Sc (0.0000, 0.6279, 0.0867)  10 Si 2.86-2.90
Sc (0.0000, 0.1279, 0.4133)  10 Si 2.86-2.90
Sc (0.0000, 0.3721, 0.9133)  10 Si 2.86-2.90


8.
Re2GeP after structural relaxation, computed with PBE-GGA.

Output
- distance to the lowest polymorph of the same formula (eV per atom) = 0.000
- raw total energy (eV/atom) = -8.605
- E_form (meV/atom) = 126
- symmetry = Fm-3m (225)

a = 4.2733 Å, b = 4.2733 Å, c = 4.2733 Å
α = 60.00°, β = 60.00°, γ = 60.00°
With the nearest neighbours (Å) after each atom.
Element x y z (fractional)
P (0.0000, 0.0000, 0.0000)  8 Re 2.62
Re (0.2500, 0.2500, 0.2500)  4 Ge 2.62, 4 P 2.62
Re (0.7500, 0.7500, 0.7500)  4 P 2.62, 4 Ge 2.62
Ge (0.5000, 0.5000, 0.5000)  8 Re 2.62


Number 1: N(E_F) 3.7 states/eV/cell. Number 2: N(E_F) 4.2 states/eV/cell. Number 3: N(E_F) 2.4 states/eV/cell. Number 4: N(E_F) 2.0 states/eV/cell. Number 5: N(E_F) 5.1 states/eV/cell. Number 6: N(E_F) 9.1 states/eV/cell. Number 7: N(E_F) 11.8 states/eV/cell. Number 8: N(E_F) 2.0 states/eV/cell.